First-principles (PBE) data for a relaxed PmPrDyTh2 crystal, as listed in the Alexandria database.

Calculated values
Formation energy from the elements ... 35.3 kJ per mole of atoms
Fermi-level density of states ... 15.817 states/eV per cell

a b c (Å): 8.5781 8.5781 6.7331
angles (deg): 90.00 90.00 133.82
Atoms (fractional coordinates):
Pm (0.1514, 0.8486, 0.7500)
Pm (0.8486, 0.1514, 0.2500)
Pr (0.2553, 0.7447, 0.2500)
Pr (0.7447, 0.2553, 0.7500)
Dy (0.3493, 0.6507, 0.7500)
Dy (0.6507, 0.3493, 0.2500)
Th (0.2517, 0.2517, 0.0000)
Th (0.2517, 0.2517, 0.5000)
Th (0.7483, 0.7483, 0.0000)
Th (0.7483, 0.7483, 0.5000)